# 1
A plane-wave DFT calculation with PBE-GGA was carried out for an optimized crystal structure of V2GaIr.

Cell: 7.0452 7.0452 5.5867 Å, 50.91 50.91 90.00°
With the nearest neighbours (Å) after each atom.
Atoms (fractional coordinates):
Ir 0.7500 0.2500 0.5000  4 V 2.44, 2 Ga 2.53
Ir 0.0000 0.0000 0.0000  4 V 2.44, 2 Ga 2.53
V 0.0965 0.6250 0.2500  2 Ir 2.44, 2 V 2.56, 2 Ga 2.71
V 0.8750 0.9035 0.7500  2 Ir 2.44, 2 V 2.56, 2 Ga 2.71
V 0.3750 0.3465 0.7500  2 Ir 2.44, 2 V 2.56, 2 Ga 2.71
V 0.6535 0.1250 0.2500  2 Ir 2.44, 2 V 2.56, 2 Ga 2.71
Ga 0.5000 0.5000 0.0000  2 Ir 2.53, 4 V 2.71
Ga 0.2500 0.7500 0.5000  2 Ir 2.53, 4 V 2.71

- Spin magnetization: 0.000 μB/f.u.
- Final energy: -29.4 eV per formula unit
- Theoretical density: 9.6 g cm⁻³
- Calculated volume: 15.69 Å³ per atom
- Energy of formation from the pure elements: 0.19 eV per atom

# 2
A plane-wave DFT calculation with PBE-GGA was carried out for an optimized crystal structure of V2Ga2Ir.

Cell: 6.5256 6.5256 3.4258 Å, 90.00 90.00 90.00°
With the nearest neighbours (Å) after each atom.
Atoms (fractional coordinates):
Ga 0.3662 0.8662 0.0000  1 Ga 2.47, 6 V 2.51-2.62, 2 Ir 2.54
Ga 0.6338 0.1338 0.0000  1 Ga 2.47, 6 V 2.51-2.62, 2 Ir 2.54
Ga 0.1338 0.3662 0.0000  1 Ga 2.47, 6 V 2.51-2.62, 2 Ir 2.54
Ga 0.8662 0.6338 0.0000  1 Ga 2.47, 6 V 2.51-2.62, 2 Ir 2.54
Ir 0.0000 0.0000 0.0000  4 Ga 2.54
Ir 0.5000 0.5000 0.0000  4 Ga 2.54
V 0.3321 0.1679 0.5000  6 Ga 2.51-2.62
V 0.8321 0.3321 0.5000  6 Ga 2.51-2.62
V 0.6679 0.8321 0.5000  6 Ga 2.51-2.62
V 0.1679 0.6679 0.5000  6 Ga 2.51-2.62

- Spin magnetization: 2.765 μB/f.u.
- Final energy: -33.9 eV per formula unit
- Theoretical density: 9.9 g cm⁻³
- Calculated volume: 14.59 Å³ per atom
- Energy of formation from the pure elements: -0.14 eV per atom

# 3
A plane-wave DFT calculation with PBE-GGA was carried out for an optimized crystal structure of VGaIr.

Cell: 2.7598 4.2513 4.2513 Å, 120.00 90.00 90.00°
With the nearest neighbours (Å) after each atom.
Atoms (fractional coordinates):
V 0.3334 0.3333 0.6667  2 V 2.76, 6 Ga 2.82, 6 Ir 2.82
Ga 0.8330 0.0000 0.0000  3 Ir 2.45
Ir 0.8336 0.6667 0.3333  3 Ga 2.45

- Spin magnetization: 0.000 μB/f.u.
- Final energy: -22.2 eV per formula unit
- Theoretical density: 12.0 g cm⁻³
- Calculated volume: 14.40 Å³ per atom
- Energy of formation from the pure elements: -0.38 eV per atom

# 4
A plane-wave DFT calculation with PBE-GGA was carried out for an optimized crystal structure of V2GaIr.

Cell: 4.0291 3.7138 3.7138 Å, 90.00 90.00 90.00°
With the nearest neighbours (Å) after each atom.
Atoms (fractional coordinates):
Ga 0.5000 0.0000 0.0000  4 Ir 2.63, 8 V 2.74
Ir 0.5000 0.5000 0.5000  4 Ga 2.63, 8 V 2.74
V 0.0000 0.5000 0.0000  4 V 2.63, 4 Ir 2.74, 4 Ga 2.74
V 0.0000 0.0000 0.5000  4 V 2.63, 4 Ir 2.74, 4 Ga 2.74

- Spin magnetization: 0.000 μB/f.u.
- Final energy: -31.5 eV per formula unit
- Theoretical density: 10.9 g cm⁻³
- Calculated volume: 13.89 Å³ per atom
- Energy of formation from the pure elements: -0.34 eV per atom

# 5
A plane-wave DFT calculation with PBE-GGA was carried out for an optimized crystal structure of V3GaIr.

Cell: 4.3860 4.3860 4.3860 Å, 90.00 90.00 90.00°
With the nearest neighbours (Å) after each atom.
Atoms (fractional coordinates):
Ir 0.5000 0.5000 0.5000  12 V 3.10
V 0.0000 0.0000 0.5000  2 Ga 2.19
V 0.0000 0.5000 0.0000  2 Ga 2.19
V 0.5000 0.0000 0.0000  2 Ga 2.19
Ga 0.0000 0.0000 0.0000  6 V 2.19

- Spin magnetization: 1.452 μB/f.u.
- Final energy: -33.3 eV per formula unit
- Theoretical density: 8.2 g cm⁻³
- Calculated volume: 16.88 Å³ per atom
- Energy of formation from the pure elements: 1.20 eV per atom

# 6
A plane-wave DFT calculation with PBE-GGA was carried out for an optimized crystal structure of V2GaIr2.

Cell: 7.3518 7.3518 2.7852 Å, 90.00 90.00 90.00°
With the nearest neighbours (Å) after each atom.
Atoms (fractional coordinates):
Ga 0.5000 0.5000 0.0000  2 Ga 2.79, 4 Ir 2.87, 8 V 3.09
Ga 0.0000 0.0000 0.0000  2 Ga 2.79, 4 Ir 2.87, 8 V 3.09
Ir 0.3677 0.8677 0.0000  6 V 2.55-2.58, 3 Ir 2.75-2.79
Ir 0.1323 0.3677 0.0000  6 V 2.55-2.58, 3 Ir 2.75-2.79
Ir 0.6323 0.1323 0.0000  6 V 2.55-2.58, 3 Ir 2.75-2.79
Ir 0.8677 0.6323 0.0000  6 V 2.55-2.58, 3 Ir 2.75-2.79
V 0.3380 0.1620 0.5000  6 Ir 2.55-2.58, 2 V 2.79
V 0.8380 0.3380 0.5000  6 Ir 2.55-2.58, 2 V 2.79
V 0.1620 0.6620 0.5000  6 Ir 2.55-2.58, 2 V 2.79
V 0.6620 0.8380 0.5000  6 Ir 2.55-2.58, 2 V 2.79

- Spin magnetization: 0.000 μB/f.u.
- Final energy: -40.7 eV per formula unit
- Theoretical density: 12.3 g cm⁻³
- Calculated volume: 15.05 Å³ per atom
- Energy of formation from the pure elements: -0.35 eV per atom